Material: RbBeP
Method: DFT, PBE
State: optimized geometry

Calculated values
Calculated total energy   -3.7622 eV per atom

a b c (Å): 7.316 6.566 7.309
angles (deg): 123.79 90.00 90.00
Positions (direct):
P1 0.342 0.000 0.659
P2 0.842 0.000 0.841
P3 0.658 0.000 0.341
P4 0.158 0.000 0.159
Be1 0.635 0.000 0.635
Be2 0.865 0.000 0.135
Be3 0.365 0.000 0.365
Be4 0.135 0.000 0.865
Rb1 0.500 0.620 0.810
Rb2 0.000 0.620 0.310
Rb3 0.500 0.380 0.190
Rb4 0.000 0.380 0.690



Material: Rb2BeP
Method: DFT, PBE
State: optimized geometry

Calculated values
E above lowest polymorph   0.000 eV/atom

a b c (Å): 5.768 5.768 5.768
angles (deg): 60.00 60.00 60.00
Positions (direct):
P1 0.500 0.500 0.500
Rb1 0.250 0.250 0.250
Rb2 0.750 0.750 0.750
Be1 0.000 0.000 0.000



Material: RbBeP
Method: DFT, PBE
State: optimized geometry

Calculated values
Calculated total energy   -3.7450 eV per atom

a b c (Å): 10.229 3.779 12.814
angles (deg): 90.00 124.09 90.00
Positions (direct):
P1 0.675 0.000 0.368
P2 0.325 0.000 0.632
P3 0.675 0.500 0.868
P4 0.325 0.500 0.132
Rb1 0.000 0.000 0.000
Rb2 0.000 0.500 0.500
Rb3 0.500 0.500 0.500
Rb4 0.500 0.000 0.000
Be1 0.430 0.000 0.216
Be2 0.570 0.000 0.784
Be3 0.430 0.500 0.716
Be4 0.570 0.500 0.284



Material: RbBe3P
Method: DFT, PBE
State: optimized geometry

Calculated values
E above lowest polymorph   1.731 eV/atom

a b c (Å): 5.178 5.178 5.178
angles (deg): 90.00 90.00 90.00
Positions (direct):
P1 0.500 0.500 0.500
Rb1 0.000 0.000 0.000
Be1 0.000 0.500 0.000
Be2 0.000 0.000 0.500
Be3 0.500 0.000 0.000



Material: RbBeP
Method: DFT, PBE
State: optimized geometry

Calculated values
Calculated total energy   -3.8173 eV per atom

a b c (Å): 6.379 3.749 12.617
angles (deg): 90.00 90.00 90.00
Positions (direct):
P1 0.864 0.250 0.105
P2 0.636 0.750 0.605
P3 0.136 0.750 0.895
P4 0.364 0.250 0.395
Rb1 0.089 0.250 0.659
Rb2 0.411 0.750 0.159
Rb3 0.911 0.750 0.341
Rb4 0.589 0.250 0.841
Be1 0.059 0.250 0.965
Be2 0.441 0.750 0.465
Be3 0.941 0.750 0.035
Be4 0.559 0.250 0.535



Material: RbBeP
Method: DFT, PBE
State: optimized geometry

Calculated values
Calculated total energy   -3.7476 eV per atom

a b c (Å): 3.782 10.744 10.195
angles (deg): 90.00 90.00 90.00
Positions (direct):
Rb1 0.750 0.766 0.307
Rb2 0.250 0.266 0.193
Rb3 0.250 0.234 0.693
Rb4 0.750 0.734 0.807
Be1 0.750 0.535 0.045
Be2 0.250 0.035 0.455
Be3 0.250 0.465 0.955
Be4 0.750 0.965 0.545
P1 0.750 0.117 0.408
P2 0.250 0.617 0.092
P3 0.250 0.883 0.592
P4 0.750 0.383 0.908



Material: RbBe3P
Method: DFT, PBE
State: optimized geometry

Calculated values
E above lowest polymorph   0.000 eV/atom

a b c (Å): 4.549 4.549 4.549
angles (deg): 90.00 90.00 90.00
Positions (direct):
P1 0.000 0.000 0.000
Rb1 0.500 0.500 0.500
Be1 0.000 0.500 0.000
Be2 0.000 0.000 0.500
Be3 0.500 0.000 0.000



Material: Rb2BeP2
Method: DFT, PBE
State: optimized geometry

Calculated values
Calculated total energy   -3.1150 eV per atom

a b c (Å): 6.587 6.587 3.794
angles (deg): 90.00 90.00 90.00
Positions (direct):
P1 0.500 0.500 0.500
P2 0.000 0.000 0.500
Rb1 0.000 0.500 0.000
Rb2 0.500 0.000 0.000
Be1 0.000 0.000 0.000



Material: Rb4Be2P
Method: DFT, PBE
State: optimized geometry

Calculated values
Calculated total energy   -1.7153 eV per atom

a b c (Å): 6.832 6.832 9.242
angles (deg): 68.31 68.31 90.00
Positions (direct):
P1 0.000 0.000 0.000
Rb1 0.797 0.797 0.407
Rb2 0.203 0.203 0.593
Rb3 0.000 0.500 0.000
Rb4 0.500 0.000 0.000
Be1 0.569 0.569 0.862
Be2 0.431 0.431 0.138



Material: RbBeP
Method: DFT, PBE
State: optimized geometry

Calculated values
Calculated total energy   -3.7136 eV per atom

a b c (Å): 3.811 3.811 11.806
angles (deg): 90.00 90.00 90.00
Positions (direct):
Rb1 0.500 0.000 0.239
Rb2 0.000 0.500 0.761
Be1 0.500 0.500 0.500
Be2 0.000 0.000 0.500
P1 0.500 0.000 0.604
P2 0.000 0.500 0.396



Material: RbBeP
Method: DFT, PBE
State: optimized geometry

Calculated values
Calculated total energy   -3.7286 eV per atom

a b c (Å): 5.510 3.771 3.771
angles (deg): 120.00 90.00 90.00
Positions (direct):
P1 0.167 0.000 0.000
Rb1 0.667 0.667 0.333
Be1 0.167 0.333 0.667



Material: Rb3BeP
Method: DFT, PBE
State: optimized geometry

Calculated values
E above lowest polymorph   0.000 eV/atom

a b c (Å): 6.618 6.618 6.618
angles (deg): 90.00 90.00 90.00
Positions (direct):
P1 0.000 0.000 0.000
Rb1 0.000 0.500 0.000
Rb2 0.000 0.000 0.500
Rb3 0.500 0.000 0.000
Be1 0.500 0.500 0.500



Repeat the seventh record exactly.
Material: RbBe3P
Method: DFT, PBE
State: optimized geometry

Calculated values
E above lowest polymorph   0.000 eV/atom

a b c (Å): 4.549 4.549 4.549
angles (deg): 90.00 90.00 90.00
Positions (direct):
P1 0.000 0.000 0.000
Rb1 0.500 0.500 0.500
Be1 0.000 0.500 0.000
Be2 0.000 0.000 0.500
Be3 0.500 0.000 0.000